TmHgSeO PBE relaxed; spin magnetization = 0.91 μB per cell; symmetry = P4/nmm (129)
1.0
3.970 0.000 0.000
0.000 3.970 0.000
0.000 0.000 10.080
Hg Tm Se O
2 2 2 2
Direct
0.250 0.750 0.500
0.750 0.250 0.500
0.750 0.750 0.899
0.250 0.250 0.101
0.750 0.750 0.257
0.250 0.250 0.743
0.750 0.250 0.000
0.250 0.750 0.000

---

TmHgSeO PBE relaxed; spin magnetization = 0.00 μB per cell; symmetry = P2_1 (4)
1.0
5.622 0.000 0.000
0.000 5.615 0.000
-0.414 0.000 12.991
O Hg Se Tm
4 4 4 4
Direct
0.246 0.069 0.000
0.750 0.071 0.000
0.754 0.569 0.000
0.250 0.571 0.000
0.002 0.841 0.738
0.632 0.595 0.496
0.368 0.095 0.504
0.998 0.341 0.262
0.314 0.154 0.761
0.686 0.654 0.239
0.694 0.527 0.755
0.306 0.027 0.245
0.995 0.323 0.921
0.497 0.821 0.922
0.005 0.823 0.079
0.503 0.321 0.078

---

TmHgSeO PBE relaxed; spin magnetization = 0.01 μB per cell; symmetry = Pmc2_1 (26)
1.0
4.616 0.000 0.000
0.000 8.882 0.000
0.000 0.000 5.523
Tm O Se Hg
2 2 2 2
Direct
0.500 0.868 0.045
0.500 0.132 0.545
0.500 0.922 0.689
0.500 0.078 0.189
0.000 0.306 0.631
0.000 0.694 0.131
0.000 0.304 0.126
0.000 0.696 0.626

---

TmHgSeO PBE relaxed; spin magnetization = 0.01 μB per cell; symmetry = P2_1/c (14)
1.0
-7.417 0.485 -0.867
-0.880 -1.181 6.875
0.325 6.602 1.176
Hg O Se Tm
4 4 4 4
Direct
0.993 0.692 0.007
0.007 0.308 0.993
0.993 0.808 0.507
0.007 0.192 0.493
0.554 0.347 0.104
0.446 0.653 0.896
0.446 0.847 0.396
0.554 0.153 0.604
0.241 0.023 0.950
0.241 0.477 0.450
0.759 0.523 0.550
0.759 0.977 0.050
0.456 0.141 0.307
0.544 0.641 0.193
0.456 0.359 0.807
0.544 0.859 0.693

---

no.,relative energy among the computed polymorphs (eV per atom)
1,0.121
2,0.000
3,0.230
4,0.101